No. 1
An optimized crystal structure of VCrMoW. Source: Alexandria, functional PBE-GGA.

```
data_VCrMoW
_chemical_formula_sum 'V1 Cr1 Mo1 W1'
_cell_length_a 2.685
_cell_length_b 2.685
_cell_length_c 8.486
_cell_angle_alpha 90.00
_cell_angle_beta 90.00
_cell_angle_gamma 110.09
_space_group_name_H-M_alt 'P 1'
_space_group_IT_number 1
loop_
_space_group_symop_operation_xyz
'x,y,z'
loop_
_atom_site_label
_atom_site_type_symbol
_atom_site_fract_x
_atom_site_fract_y
_atom_site_fract_z
V1 V 0.000 0.000 0.000
Cr1 Cr 0.500 0.500 0.774
Mo1 Mo 0.000 0.000 0.530
W1 W 0.500 0.500 0.259
```

ΔH_f (0 K), eV per atom: -0.01

No. 2
An optimized crystal structure of VCrMoW2. Source: Alexandria, functional PBE-GGA.

```
data_VCrMoW2
_chemical_formula_sum 'V2 Cr2 Mo2 W4'
_cell_length_a 5.100
_cell_length_b 4.378
_cell_length_c 6.735
_cell_angle_alpha 90.00
_cell_angle_beta 101.66
_cell_angle_gamma 90.00
_space_group_name_H-M_alt 'P 1'
_space_group_IT_number 1
loop_
_space_group_symop_operation_xyz
'x,y,z'
loop_
_atom_site_label
_atom_site_type_symbol
_atom_site_fract_x
_atom_site_fract_y
_atom_site_fract_z
V1 V 0.046 0.250 0.355
V2 V 0.954 0.750 0.645
Cr1 Cr 0.248 0.250 0.747
Cr2 Cr 0.752 0.750 0.253
Mo1 Mo 0.348 0.750 0.450
Mo2 Mo 0.652 0.250 0.550
W1 W 0.146 0.750 0.052
W2 W 0.454 0.250 0.151
W3 W 0.546 0.750 0.849
W4 W 0.854 0.250 0.948
```

ΔH_f (0 K), eV per atom: -0.03

No. 3
An optimized crystal structure of CrMo3W2. Source: Alexandria, functional PBE-GGA.

```
data_CrMo3W2
_chemical_formula_sum 'Cr4 Mo12 W8'
_cell_length_a 9.338
_cell_length_b 9.338
_cell_length_c 6.112
_cell_angle_alpha 105.33
_cell_angle_beta 105.33
_cell_angle_gamma 122.36
_space_group_name_H-M_alt 'P 1'
_space_group_IT_number 1
loop_
_space_group_symop_operation_xyz
'x,y,z'
loop_
_atom_site_label
_atom_site_type_symbol
_atom_site_fract_x
_atom_site_fract_y
_atom_site_fract_z
Cr1 Cr 0.039 0.961 0.750
Cr2 Cr 0.287 0.713 0.250
Cr3 Cr 0.713 0.287 0.750
Cr4 Cr 0.961 0.039 0.250
Mo1 Mo 0.040 0.463 0.765
Mo2 Mo 0.199 0.276 0.728
Mo3 Mo 0.205 0.795 0.750
Mo4 Mo 0.276 0.199 0.228
Mo5 Mo 0.457 0.543 0.250
Mo6 Mo 0.463 0.040 0.265
Mo7 Mo 0.537 0.960 0.735
Mo8 Mo 0.543 0.457 0.750
Mo9 Mo 0.724 0.801 0.772
Mo10 Mo 0.795 0.205 0.250
Mo11 Mo 0.801 0.724 0.272
Mo12 Mo 0.960 0.537 0.235
W1 W 0.001 0.755 0.999
W2 W 0.245 0.999 0.501
W3 W 0.252 0.507 0.500
W4 W 0.493 0.748 0.000
W5 W 0.507 0.252 0.000
W6 W 0.748 0.493 0.500
W7 W 0.755 0.001 0.499
W8 W 0.999 0.245 0.001
```

ΔH_f (0 K), eV per atom: 0.35

- Which value of ΔH_f (0 K) does entry 3 give?
  0.35 eV per atom

- Which formula does entry 1 have?
  VCrMoW

- Which formula does entry 1 have?
  VCrMoW